Entry 1:
Material: CaCo2Ni2
Method: DFT, PBE
State: relaxed

Output
Calculated formation energy (kJ/mol of atoms): 12.6
Energy (eV/atom): -5.4247
DOS at the Fermi energy (states/eV/atom): 1.151
E above lowest polymorph (meV/atom): 0
Symmetry: I4/mmm, No. 139
Calculated volume (A^3/atom): 15.06

Unit cell a=5.721 b=5.721 c=5.721 alpha=140.43 beta=140.43 gamma=57.20
Element x y z (fractional)
Ca 0.000 0.000 0.000
Co 0.250 0.750 0.500
Co 0.750 0.250 0.500
Ni 0.383 0.383 0.000
Ni 0.617 0.617 0.000

=====

Entry 2:
Material: CaCoNi2
Method: DFT, PBE
State: relaxed

Output
Calculated formation energy (kJ/mol of atoms): 34.6
Energy (eV/atom): -4.8085
DOS at the Fermi energy (states/eV/atom): 1.373
E above lowest polymorph (meV/atom): 377
Symmetry: I-42d, No. 122
Calculated volume (A^3/atom): 19.51

Unit cell a=8.339 b=8.339 c=8.339 alpha=148.70 beta=148.70 gamma=44.86
Element x y z (fractional)
Ca 0.000 0.000 0.000
Ca 0.750 0.250 0.500
Co 0.250 0.750 0.500
Co 0.500 0.500 0.000
Ni 0.322 0.625 0.197
Ni 0.375 0.572 0.697
Ni 0.428 0.125 0.803
Ni 0.875 0.678 0.303

=====

Entry 3:
Material: CaCoNi2
Method: DFT, PBE
State: relaxed

Output
Calculated formation energy (kJ/mol of atoms): 29.9
Energy (eV/atom): -4.8580
DOS at the Fermi energy (states/eV/atom): 1.369
E above lowest polymorph (meV/atom): 328
Symmetry: Imm2, No. 44
Calculated volume (A^3/atom): 14.57

Unit cell a=5.344 b=5.344 c=5.344 alpha=149.76 beta=130.16 gamma=59.41
Element x y z (fractional)
Ca 0.000 0.000 0.000
Co 0.282 0.782 0.500
Ni 0.498 0.498 0.000
Ni 0.722 0.222 0.500

=====

Entry 4:
Material: Ca3CoNi
Method: DFT, PBE
State: relaxed

Output
Calculated formation energy (kJ/mol of atoms): 49.4
Energy (eV/atom): -3.2667
DOS at the Fermi energy (states/eV/atom): 1.332
E above lowest polymorph (meV/atom): 0
Symmetry: Pm-3m, No. 221
Calculated volume (A^3/atom): 27.70

Unit cell a=5.174 b=5.174 c=5.174 alpha=90.00 beta=90.00 gamma=90.00
Element x y z (fractional)
Ca 0.000 0.000 0.500
Ca 0.000 0.500 0.000
Ca 0.500 0.000 0.000
Co 0.000 0.000 0.000
Ni 0.500 0.500 0.500

=====

Entry 5:
Material: CaCo3Ni
Method: DFT, PBE
State: relaxed

Output
Calculated formation energy (kJ/mol of atoms): 200.3
Energy (eV/atom): -3.7444
DOS at the Fermi energy (states/eV/atom): 1.614
E above lowest polymorph (meV/atom): 1433
Symmetry: Pm-3m, No. 221
Calculated volume (A^3/atom): 16.98

Unit cell a=4.396 b=4.396 c=4.396 alpha=90.00 beta=90.00 gamma=90.00
Element x y z (fractional)
Ca 0.000 0.000 0.000
Co 0.000 0.000 0.500
Co 0.000 0.500 0.000
Co 0.500 0.000 0.000
Ni 0.500 0.500 0.500

=====

Entry 6:
Material: CaCoNi2
Method: DFT, PBE
State: relaxed

Output
Calculated formation energy (kJ/mol of atoms): 30.8
Energy (eV/atom): -4.8487
DOS at the Fermi energy (states/eV/atom): 1.510
E above lowest polymorph (meV/atom): 337
Symmetry: P4/mmm, No. 123
Calculated volume (A^3/atom): 14.45

Unit cell a=3.957 b=3.957 c=3.692 alpha=90.00 beta=90.00 gamma=90.00
Element x y z (fractional)
Ca 0.000 0.000 0.000
Co 0.500 0.500 0.000
Ni 0.000 0.500 0.500
Ni 0.500 0.000 0.500

=====

Entry 7:
Material: Ca4CoNi
Method: DFT, PBE
State: relaxed

Output
Calculated formation energy (kJ/mol of atoms): 103.5
Energy (eV/atom): -2.4096
DOS at the Fermi energy (states/eV/atom): 1.877
Symmetry: F-43m, No. 216
Calculated volume (A^3/atom): 29.41

Unit cell a=6.296 b=6.296 c=6.296 alpha=60.00 beta=60.00 gamma=60.00
Element x y z (fractional)
Ca 0.125 0.125 0.125
Ca 0.125 0.125 0.625
Ca 0.125 0.625 0.125
Ca 0.625 0.125 0.125
Co 0.750 0.750 0.750
Ni 0.500 0.500 0.500

=====

Entry 8:
Material: Ca2Co2Ni15
Method: DFT, PBE
State: relaxed

Output
Calculated formation energy (kJ/mol of atoms): -5.0
Energy (eV/atom): -5.5751
DOS at the Fermi energy (states/eV/atom): 1.204
Symmetry: R-3m, No. 166
Calculated volume (A^3/atom): 12.75

Unit cell a=6.278 b=6.278 c=6.278 alpha=83.03 beta=83.03 gamma=83.03
Element x y z (fractional)
Ca 0.156 0.156 0.156
Ca 0.844 0.844 0.844
Co 0.407 0.407 0.407
Co 0.593 0.593 0.593
Ni 0.000 0.500 0.500
Ni 0.158 0.158 0.649
Ni 0.158 0.649 0.158
Ni 0.207 0.500 0.793
Ni 0.207 0.793 0.500
Ni 0.351 0.842 0.842
Ni 0.500 0.000 0.500
Ni 0.500 0.207 0.793
Ni 0.500 0.500 0.000
Ni 0.500 0.793 0.207
Ni 0.649 0.158 0.158
Ni 0.793 0.207 0.500
Ni 0.793 0.500 0.207
Ni 0.842 0.351 0.842
Ni 0.842 0.842 0.351

=====

Entry 9:
Material: CaCoNi2
Method: DFT, PBE
State: relaxed

Output
Calculated formation energy (kJ/mol of atoms): 23.4
Energy (eV/atom): -4.9249
DOS at the Fermi energy (states/eV/atom): 1.083
E above lowest polymorph (meV/atom): 261
Symmetry: Pmm2, No. 25
Calculated volume (A^3/atom): 14.96

Unit cell a=2.790 b=3.349 c=6.403 alpha=90.00 beta=90.00 gamma=90.00
Element x y z (fractional)
Ca 0.000 0.000 0.000
Co 0.500 0.500 0.327
Ni 0.000 0.000 0.498
Ni 0.500 0.500 0.696

=====

Entry 10:
Material: CaCoNi2
Method: DFT, PBE
State: relaxed

Output
Calculated formation energy (kJ/mol of atoms): 33.6
Energy (eV/atom): -4.8196
DOS at the Fermi energy (states/eV/atom): 2.608
E above lowest polymorph (meV/atom): 366
Symmetry: Fm-3m, No. 225
Calculated volume (A^3/atom): 14.62

Unit cell a=4.357 b=4.357 c=4.357 alpha=60.00 beta=60.00 gamma=60.00
Element x y z (fractional)
Ca 0.000 0.000 0.000
Co 0.500 0.500 0.500
Ni 0.250 0.250 0.250
Ni 0.750 0.750 0.750

=====

Entry 11:
Material: CaCoNi2
Method: DFT, PBE
State: relaxed

Output
Calculated formation energy (kJ/mol of atoms): -1.8
Energy (eV/atom): -5.1857
DOS at the Fermi energy (states/eV/atom): 1.070
E above lowest polymorph (meV/atom): 0
Symmetry: C2/m, No. 12
Calculated volume (A^3/atom): 17.29

Unit cell a=4.041 b=4.041 c=5.415 alpha=111.75 beta=111.75 gamma=59.97
Element x y z (fractional)
Ca 0.000 0.000 0.000
Co 0.500 0.500 0.500
Ni 0.190 0.190 0.570
Ni 0.810 0.810 0.430

=====

Entry 12:
Material: Ca2Co2Ni
Method: DFT, PBE
State: relaxed

Output
Calculated formation energy (kJ/mol of atoms): 19.3
Energy (eV/atom): -4.5997
DOS at the Fermi energy (states/eV/atom): 1.125
Symmetry: P4/mbm, No. 127
Calculated volume (A^3/atom): 18.03

Unit cell a=6.364 b=6.364 c=4.451 alpha=90.00 beta=90.00 gamma=90.00
Element x y z (fractional)
Ca 0.183 0.317 0.000
Ca 0.317 0.817 0.000
Ca 0.683 0.183 0.000
Ca 0.817 0.683 0.000
Co 0.123 0.623 0.500
Co 0.377 0.123 0.500
Co 0.623 0.877 0.500
Co 0.877 0.377 0.500
Ni 0.000 0.000 0.500
Ni 0.500 0.500 0.500